A plane-wave DFT calculation with PBE was carried out for a relaxed CdSe2Cl crystal.

Output
As for the energy above the most stable polymorph in this dataset: 0.272 eV/atom. The value obtained for the formation energy without anion corrections is -117 meV/atom. As for the density of states at the Fermi level: 9.1 states/eV/cell.

CIF file:
```
data_CdSe2Cl
_symmetry_space_group_name_H-M 'R -3 m'
_symmetry_Int_Tables_number 166
_symmetry_space_group_name_Hall '-R 3 2"'
_cell_length_a 4.2531
_cell_length_b 4.2531
_cell_length_c 22.8183
_cell_angle_alpha 90.00
_cell_angle_beta 90.00
_cell_angle_gamma 120.00
loop_
_atom_site_label
_atom_site_type_symbol
_atom_site_fract_x
_atom_site_fract_y
_atom_site_fract_z
_atom_site_occupancy
Cd1 Cd 0.0000 0.0000 0.0000 1
Se1 Se 0.0000 0.0000 0.3924 1
Cl1 Cl 0.0000 0.0000 0.5000 1
```



A plane-wave DFT calculation with PBE was carried out for a relaxed CdSe2Cl crystal.

Output
As for the energy above the most stable polymorph in this dataset: 0.029 eV/atom. The value obtained for the formation energy without anion corrections is -359 meV/atom. As for the density of states at the Fermi level: 2.3 states/eV/cell.

CIF file:
```
data_CdSe2Cl
_symmetry_space_group_name_H-M 'C 1 m 1'
_symmetry_Int_Tables_number 8
_symmetry_space_group_name_Hall 'C -2y'
_cell_length_a 10.3016
_cell_length_b 3.5200
_cell_length_c 5.7273
_cell_angle_alpha 90.00
_cell_angle_beta 101.00
_cell_angle_gamma 90.00
loop_
_atom_site_label
_atom_site_type_symbol
_atom_site_fract_x
_atom_site_fract_y
_atom_site_fract_z
_atom_site_occupancy
Cd1 Cd 0.0000 0.0000 0.0000 1
Se1 Se 0.1150 0.5000 0.3774 1
Se2 Se 0.4504 0.0000 0.5972 1
Cl1 Cl 0.2818 0.0000 0.9838 1
```



Look up the formation energy without anion corrections of the second one. -359 meV/atom